Compound: AcP2SeO8
Source: Alexandria
Functional: GGA-PBE
Structure: optimized geometry

magnetization: 1.000 Bohr magnetons per cell
uncorrected formation energy: -1979 meV per atom
V: 12.834 Å³ per atom

a b c (Å): 4.835 4.835 8.102
angles (deg): 72.64 72.64 60.00
Each line ends with the local moment (μB).
Fractional positions:
O  0.232  0.922  0.305  0.03
Ac  0.000  0.000  0.000  0.01
O  0.541  0.232  0.305  0.03
O  0.078  0.768  0.695  0.03
P  0.250  0.250  0.250  0.01
Se  0.500  0.500  0.500  0.51
O  0.319  0.319  0.044  0.01
O  0.768  0.459  0.695  0.03
P  0.750  0.750  0.750  0.01
O  0.459  0.078  0.695  0.03
O  0.681  0.681  0.956  0.01
O  0.922  0.541  0.305  0.03